No. 1
Pm5DyMg after structural relaxation, computed with PBE-GGA.

## Properties
- raw total energy (eV/f.u.) = -29.18
- Fermi-level density of states (states/eV/cell) = 18.8

Geometry as POSCAR:
```
Pm5DyMg
1.0
4.431 -4.214 0.000
4.431 4.214 0.000
-2.254 0.000 12.354
Pm Dy Mg
10 2 2
Direct
0.026 0.286 0.574
0.046 0.380 0.864
0.152 0.848 0.750
0.286 0.026 0.074
0.380 0.046 0.364
0.620 0.954 0.636
0.714 0.974 0.926
0.848 0.152 0.250
0.954 0.620 0.136
0.974 0.714 0.426
0.463 0.537 0.250
0.537 0.463 0.750
0.500 0.500 0.000
0.500 0.500 0.500
```



No. 2
Pm2Dy6Mg after structural relaxation, computed with PBE-GGA.

## Properties
- raw total energy (eV/f.u.) = -38.51
- Fermi-level density of states (states/eV/cell) = 25.2
- ΔE to the lowest computed polymorph (kcal/mol of atoms) = 0.00

Geometry as POSCAR:
```
Pm2Dy6Mg
1.0
10.571 0.000 0.000
0.000 10.571 0.000
0.000 0.000 5.034
Pm Dy Mg
4 12 2
Direct
0.165 0.165 0.000
0.335 0.665 0.500
0.665 0.335 0.500
0.835 0.835 0.000
0.001 0.666 0.500
0.166 0.499 0.000
0.168 0.832 0.000
0.332 0.332 0.500
0.334 0.999 0.500
0.499 0.166 0.000
0.501 0.834 0.000
0.666 0.001 0.500
0.668 0.668 0.500
0.832 0.168 0.000
0.834 0.501 0.000
0.999 0.334 0.500
0.000 0.000 0.500
0.500 0.500 0.000
```



no.,V (Å³/f.u.)
1,231
2,281